This record from Alexandria describes crystalline La2ThPt9 at its relaxed geometry. The functional is PBE-GGA.

Properties
Crystal system: trigonal
E_form in meV/atom: -972
VASP energy in eV/cell: -249.90
Density of states at the Fermi level in states/eV/cell: 26.80

a b c (Å): 5.4643 5.4643 27.1522
angles (deg): 90.00 90.00 120.00
Last column: nearest neighbours and their distance in Å.
Space group R-3m (No. 166, hexagonal axes)
Asymmetric unit:
La (0.0000, 0.0000, 0.1394) (multiplicity 6)  12 Pt 3.12-3.38, 3 La 3.49
Th (0.0000, 0.0000, 0.0000) (multiplicity 3)  6 Pt 3.15
Pt (0.0000, 0.0000, 0.3328) (multiplicity 6)  6 Pt 2.75-2.79
Pt (0.0000, 0.0000, 0.5000) (multiplicity 3)  6 Pt 2.75
Pt (0.0023, 0.5012, 0.9162) (multiplicity 18)  7 Pt 2.71-2.79